No. 1
Compound: Rb3Pr2ZrTe6
Source: the Alexandria database
Functional: PBE
Structure: relaxed

## Properties
uncorrected formation energy: -1.2281 eV/atom
total magnetic moment: 1.3 Bohr magnetons per cell
crystal system: monoclinic
density: 5.1 g cm⁻³

a = 7.837 Å, b = 13.582 Å, c = 9.006 Å
α = 90.00°, β = 106.95°, γ = 90.00°
Space group C2/m (No. 12)
Inequivalent atoms, fractional coordinates:
Rb (0.000, 0.000, 0.000) x2
Rb (0.000, 0.327, 0.000) x4
Pr (0.000, 0.166, 0.500) x4
Zr (0.000, 0.500, 0.500) x2
Te (0.224, 0.344, 0.702) x8
Te (0.244, 0.500, 0.296) x4

No. 2
Compound: SrMnAl
Source: the Alexandria database
Functional: PBE
Structure: relaxed

## Properties
E_tot: -52.59 eV/cell
total magnetic moment: 15.5 Bohr magnetons per cell
crystal system: cubic
density: 3.4 g cm⁻³

a = 6.921 Å, b = 6.921 Å, c = 6.921 Å
α = 90.00°, β = 90.00°, γ = 90.00°
Space group F-43m (No. 216)
Inequivalent atoms, fractional coordinates:
Sr (0.000, 0.000, 0.000) x4
Mn (0.250, 0.250, 0.250) x4
Al (0.000, 0.000, 0.500) x4

No. 3
Compound: BeMoCl2
Source: the Alexandria database
Functional: PBE
Structure: relaxed

## Properties
uncorrected formation energy: 0.3975 eV/atom
total magnetic moment: 0.0 Bohr magnetons per cell
crystal system: monoclinic
E above lowest polymorph: 0.702 eV/atom
density: 4.5 g cm⁻³

a = 2.923 Å, b = 4.156 Å, c = 5.471 Å
α = 90.00°, β = 104.44°, γ = 90.00°
Space group P2/m (No. 10)
Inequivalent atoms, fractional coordinates:
Be (0.000, 0.000, 0.000) x1
Mo (0.500, 0.000, 0.500) x1
Cl (0.365, 0.500, 0.244) x2

No. 4
Compound: Ca2MgGa4Pd3
Source: the Alexandria database
Functional: PBE
Structure: relaxed

## Properties
E_tot: -39.47 eV/cell
total magnetic moment: 0.0 Bohr magnetons per cell
crystal system: tetragonal
density: 5.9 g cm⁻³

a = 4.106 Å, b = 4.106 Å, c = 11.714 Å
α = 90.00°, β = 90.00°, γ = 90.00°
Space group P-4m2 (No. 115)
Inequivalent atoms, fractional coordinates:
Ca (0.000, 0.500, 0.240) x2
Mg (0.000, 0.000, 0.500) x1
Ga (0.000, 0.000, 0.000) x1
Ga (0.000, 0.500, 0.649) x2
Ga (0.500, 0.500, 0.000) x1
Pd (0.000, 0.500, 0.866) x2
Pd (0.500, 0.500, 0.500) x1

No. 5
Compound: TbAl3Ru
Source: the Alexandria database
Functional: PBE
Structure: relaxed

## Properties
E_tot: -84.34 eV/cell
total magnetic moment: 0.0 Bohr magnetons per cell
crystal system: cubic
density: 6.3 g cm⁻³

a = 6.446 Å, b = 6.446 Å, c = 6.446 Å
α = 90.00°, β = 90.00°, γ = 90.00°
Space group Pm-3m (No. 221)
Inequivalent atoms, fractional coordinates:
Tb (0.000, 0.000, 0.500) x3
Al (0.000, 0.000, 0.000) x1
Al (0.291, 0.291, 0.291) x8
Ru (0.000, 0.500, 0.500) x3

No. 6
Compound: K2NaTe2
Source: the Alexandria database
Functional: PBE
Structure: relaxed

## Properties
uncorrected formation energy: -0.8770 eV/atom
total magnetic moment: 0.0 Bohr magnetons per cell
crystal system: orthorhombic
E above lowest polymorph: 0.000 eV/atom
density: 3.2 g cm⁻³

a = 5.016 Å, b = 7.331 Å, c = 10.148 Å
α = 90.00°, β = 90.00°, γ = 90.00°
Space group Immm (No. 71)
Inequivalent atoms, fractional coordinates:
K (0.000, 0.000, 0.192) x4
Na (0.000, 0.500, 0.000) x2
Te (0.000, 0.257, 0.500) x4

No. 7
Compound: ZrTi2Se6
Source: the Alexandria database
Functional: PBE
Structure: relaxed

## Properties
uncorrected formation energy: -1.1735 eV/atom
total magnetic moment: 0.0 Bohr magnetons per cell
crystal system: monoclinic
density: 4.6 g cm⁻³

a = 17.290 Å, b = 3.633 Å, c = 8.086 Å
α = 90.00°, β = 111.58°, γ = 90.00°
Space group C2/m (No. 12)
Inequivalent atoms, fractional coordinates:
Zr (0.000, 0.000, 0.000) x2
Ti (0.170, 0.500, 0.336) x4
Se (0.009, 0.500, 0.251) x4
Se (0.167, 0.000, 0.106) x4
Se (0.173, 0.000, 0.565) x4

No. 8
Compound: Ac6Sm3Er
Source: the Alexandria database
Functional: PBE
Structure: relaxed

## Properties
E_tot: -253.29 eV/cell
total magnetic moment: 0.0 Bohr magnetons per cell
crystal system: trigonal
density: 8.2 g cm⁻³

a = 16.7995 Å, b = 16.7995 Å, c = 9.8833 Å
α = 90.00°, β = 90.00°, γ = 120.00°
Space group R-3 (No. 148, hexagonal axes)
Inequivalent atoms, fractional coordinates:
Ac (0.0307, 0.7670, 0.3509) x18
Ac (0.0711, 0.5048, 0.6610) x18
Sm (0.0156, 0.8673, 0.7080) x18
Er (0.0000, 0.0000, 0.0000) x3
Er (0.0000, 0.0000, 0.5000) x3

No. 9
Compound: Ti2FePd2
Source: the Alexandria database
Functional: PBE
Structure: relaxed

## Properties
E_tot: -69.96 eV/cell
total magnetic moment: 0.0 Bohr magnetons per cell
crystal system: tetragonal
density: 7.8 g cm⁻³

a = 7.127 Å, b = 7.127 Å, c = 3.057 Å
α = 90.00°, β = 90.00°, γ = 90.00°
Space group P4/mbm (No. 127)
Inequivalent atoms, fractional coordinates:
Ti (0.173, 0.327, 0.000) x4
Fe (0.000, 0.000, 0.500) x2
Pd (0.132, 0.632, 0.500) x4

No. 10
Compound: K3Ce2NpSe6
Source: the Alexandria database
Functional: PBE
Structure: relaxed

## Properties
uncorrected formation energy: -1.5455 eV/atom
total magnetic moment: 12.0 Bohr magnetons per cell
crystal system: monoclinic
density: 4.9 g cm⁻³

a = 7.522 Å, b = 13.028 Å, c = 8.071 Å
α = 90.00°, β = 108.10°, γ = 90.00°
Space group C2/m (No. 12)
Inequivalent atoms, fractional coordinates:
K (0.000, 0.000, 0.000) x2
K (0.000, 0.333, 0.000) x4
Ce (0.000, 0.167, 0.500) x4
Np (0.000, 0.500, 0.500) x2
Se (0.234, 0.335, 0.708) x8
Se (0.239, 0.000, 0.708) x4

No. 11
Compound: SbPd5Au
Source: the Alexandria database
Functional: PBE
Structure: relaxed

## Properties
uncorrected formation energy: -0.2384 eV/atom
total magnetic moment: 0.0 Bohr magnetons per cell
crystal system: tetragonal
E above lowest polymorph: 0.000 eV/atom
density: 11.5 g cm⁻³

a = 4.080 Å, b = 4.080 Å, c = 7.370 Å
α = 90.00°, β = 90.00°, γ = 90.00°
Space group P4/mmm (No. 123)
Inequivalent atoms, fractional coordinates:
Sb (0.000, 0.000, 0.000) x1
Pd (0.000, 0.000, 0.500) x1
Pd (0.000, 0.500, 0.229) x4
Au (0.500, 0.500, 0.500) x1

No. 12
Compound: Cr2PtW
Source: the Alexandria database
Functional: PBE
Structure: relaxed

## Properties
total magnetic moment: 0.0 Bohr magnetons per cell
crystal system: monoclinic
E above lowest polymorph: 0.045 eV/atom
density: 14.4 g cm⁻³

a = 2.673 Å, b = 3.896 Å, c = 5.410 Å
α = 90.00°, β = 97.98°, γ = 90.00°
Space group Pm (No. 6)
Inequivalent atoms, fractional coordinates:
Cr (0.000, 0.000, 0.000) x1
Cr (0.367, 0.500, 0.199) x1
Pt (0.948, 0.000, 0.474) x1
W (0.533, 0.500, 0.748) x1

Repeat the ninth record exactly.
Compound: Ti2FePd2
Source: the Alexandria database
Functional: PBE
Structure: relaxed

## Properties
E_tot: -69.96 eV/cell
total magnetic moment: 0.0 Bohr magnetons per cell
crystal system: tetragonal
density: 7.8 g cm⁻³

a = 7.127 Å, b = 7.127 Å, c = 3.057 Å
α = 90.00°, β = 90.00°, γ = 90.00°
Space group P4/mbm (No. 127)
Inequivalent atoms, fractional coordinates:
Ti (0.173, 0.327, 0.000) x4
Fe (0.000, 0.000, 0.500) x2
Pd (0.132, 0.632, 0.500) x4

Copy entry 1 word for word.
Compound: Rb3Pr2ZrTe6
Source: the Alexandria database
Functional: PBE
Structure: relaxed

## Properties
uncorrected formation energy: -1.2281 eV/atom
total magnetic moment: 1.3 Bohr magnetons per cell
crystal system: monoclinic
density: 5.1 g cm⁻³

a = 7.837 Å, b = 13.582 Å, c = 9.006 Å
α = 90.00°, β = 106.95°, γ = 90.00°
Space group C2/m (No. 12)
Inequivalent atoms, fractional coordinates:
Rb (0.000, 0.000, 0.000) x2
Rb (0.000, 0.327, 0.000) x4
Pr (0.000, 0.166, 0.500) x4
Zr (0.000, 0.500, 0.500) x2
Te (0.224, 0.344, 0.702) x8
Te (0.244, 0.500, 0.296) x4

- Which formula does entry 8 have?
  Ac6Sm3Er